Compound: NbOsPb
Source: OQMD via LeMat-Bulk
Functional: PBE
Structure: optimized geometry

Results
**Total energy**: -7.554 eV/atom
**Space group**: F-43m (216)

```
3
Lattice="0.000 3.194 3.194 3.194 0.000 3.194 3.194 3.194 0.000" Properties=species:S:1:pos:R:3 pbc="T T T"
Nb 0.000 0.000 0.000
Os 1.597 1.597 1.597
Pb 4.791 4.791 4.791
```